[1]
This record from Alexandria describes crystalline Tl2HgGe at its relaxed geometry. The functional is PBE-GGA.

Geometry as POSCAR:
```
Tl2HgGe
1.0
2.215 1.279 7.038
-2.215 1.279 7.038
0.000 -2.557 7.038
Tl Hg Ge
2 1 1
Direct
0.000 0.000 0.000 Tl
0.194 0.194 0.194 Tl
0.767 0.767 0.767 Hg
0.601 0.601 0.601 Ge
```

Output
Polymorph energy (0 for the lowest one) = 45 meV/atom
Space-group type = R3m, No. 160
Density = 9.5 Mg/m³
Formation energy from the elements = 185 meV per atom
DFT total energy = -2.228 eV/atom



[2]
This record from Alexandria describes crystalline TlHgGe at its relaxed geometry. The functional is PBE-GGA.

Geometry as POSCAR:
```
TlHgGe
1.0
3.673 0.000 0.000
0.000 3.673 0.000
0.000 0.000 11.374
Tl Hg Ge
2 2 2
Direct
0.250 0.250 0.108 Tl
0.750 0.750 0.892 Tl
0.250 0.250 0.718 Hg
0.750 0.750 0.282 Hg
0.250 0.250 0.449 Ge
0.750 0.750 0.551 Ge
```

Output
Polymorph energy (0 for the lowest one) = 50 meV/atom
Space-group type = P4/nmm, No. 129
Density = 10.3 Mg/m³
Formation energy from the elements = 147 meV per atom
DFT total energy = -2.281 eV/atom



[3]
This record from Alexandria describes crystalline TlHgGe at its relaxed geometry. The functional is PBE-GGA.

Geometry as POSCAR:
```
TlHgGe
1.0
5.781 -2.316 0.000
5.781 2.316 0.000
-5.584 0.000 5.938
Tl Hg Ge
2 2 2
Direct
0.000 0.000 0.000 Tl
0.501 0.501 0.644 Tl
0.203 0.203 0.628 Hg
0.798 0.798 0.223 Hg
0.345 0.345 0.084 Ge
0.653 0.653 0.396 Ge
```

Output
Polymorph energy (0 for the lowest one) = 0 meV/atom
Space-group type = Cm, No. 8
Density = 10.0 Mg/m³
Formation energy from the elements = 98 meV per atom
DFT total energy = -2.331 eV/atom



[4]
This record from Alexandria describes crystalline Tl4Hg2Ge at its relaxed geometry. The functional is PBE-GGA.

Geometry as POSCAR:
```
Tl4Hg2Ge
1.0
-2.737 2.737 8.230
2.737 -2.737 8.230
2.737 2.737 -8.230
Tl Hg Ge
4 2 1
Direct
0.000 0.500 0.500 Tl
0.184 0.184 0.000 Tl
0.500 0.000 0.500 Tl
0.816 0.816 0.000 Tl
0.375 0.375 0.000 Hg
0.625 0.625 0.000 Hg
0.000 0.000 0.000 Ge
```

Output
Space-group type = I4/mmm, No. 139
Density = 8.7 Mg/m³
Formation energy from the elements = 175 meV per atom
DFT total energy = -1.923 eV/atom



[5]
This record from Alexandria describes crystalline Tl2HgGe at its relaxed geometry. The functional is PBE-GGA.

Geometry as POSCAR:
```
Tl2HgGe
1.0
5.557 0.000 0.000
0.000 5.557 0.000
0.000 0.000 3.470
Tl Hg Ge
2 1 1
Direct
0.000 0.500 0.000 Tl
0.500 0.000 0.000 Tl
0.000 0.000 0.500 Hg
0.500 0.500 0.500 Ge
```

Output
Polymorph energy (0 for the lowest one) = 12 meV/atom
Space-group type = P4/mmm, No. 123
Density = 10.6 Mg/m³
Formation energy from the elements = 152 meV per atom
DFT total energy = -2.261 eV/atom



[6]
This record from Alexandria describes crystalline Tl2HgGe2 at its relaxed geometry. The functional is PBE-GGA.

Geometry as POSCAR:
```
Tl2HgGe2
1.0
7.229 0.000 0.000
0.000 7.229 0.000
0.000 0.000 5.004
Tl Hg Ge
4 2 4
Direct
0.176 0.324 0.000 Tl
0.324 0.824 0.000 Tl
0.676 0.176 0.000 Tl
0.824 0.676 0.000 Tl
0.000 0.000 0.500 Hg
0.500 0.500 0.500 Hg
0.128 0.628 0.500 Ge
0.372 0.128 0.500 Ge
0.628 0.872 0.500 Ge
0.872 0.372 0.500 Ge
```

Output
Polymorph energy (0 for the lowest one) = 59 meV/atom
Space-group type = P4/mbm, No. 127
Density = 9.6 Mg/m³
Formation energy from the elements = 174 meV per atom
DFT total energy = -2.680 eV/atom



[7]
This record from Alexandria describes crystalline TlHgGe at its relaxed geometry. The functional is PBE-GGA.

Geometry as POSCAR:
```
TlHgGe
1.0
3.997 0.000 0.000
-0.368 5.582 0.000
-0.620 -1.300 7.468
Tl Hg Ge
2 2 2
Direct
0.210 0.283 0.077 Tl
0.790 0.717 0.923 Tl
0.285 0.025 0.664 Hg
0.715 0.975 0.336 Hg
0.266 0.501 0.605 Ge
0.734 0.499 0.395 Ge
```

Output
Polymorph energy (0 for the lowest one) = 19 meV/atom
Space-group type = P-1, No. 2
Density = 9.5 Mg/m³
Formation energy from the elements = 117 meV per atom
DFT total energy = -2.312 eV/atom



[8]
This record from Alexandria describes crystalline Tl16Hg12Ge at its relaxed geometry. The functional is PBE-GGA.

Geometry as POSCAR:
```
Tl16Hg12Ge
1.0
5.960 -8.509 0.000
5.960 8.509 0.000
-5.841 0.000 8.309
Tl Hg Ge
16 12 1
Direct
0.000 0.000 0.000 Tl
0.001 0.001 0.640 Tl
0.009 0.616 0.976 Tl
0.018 0.373 0.652 Tl
0.296 0.677 0.330 Tl
0.318 0.998 0.250 Tl
0.365 0.586 0.630 Tl
0.373 0.018 0.652 Tl
0.424 0.715 0.066 Tl
0.586 0.365 0.630 Tl
0.600 0.600 0.317 Tl
0.616 0.009 0.976 Tl
0.677 0.296 0.330 Tl
0.697 0.697 0.962 Tl
0.715 0.424 0.066 Tl
0.998 0.318 0.250 Tl
0.004 0.814 0.295 Hg
0.035 0.639 0.477 Hg
0.160 0.355 0.999 Hg
0.185 0.185 0.460 Hg
0.226 0.803 0.841 Hg
0.355 0.160 0.999 Hg
0.369 0.369 0.833 Hg
0.639 0.035 0.477 Hg
0.662 0.851 0.665 Hg
0.803 0.226 0.841 Hg
0.814 0.004 0.295 Hg
0.851 0.662 0.665 Hg
0.322 0.322 0.286 Ge
```

Output
Space-group type = Cm, No. 8
Density = 11.3 Mg/m³
Formation energy from the elements = 17 meV per atom
DFT total energy = -1.572 eV/atom



[9]
This record from Alexandria describes crystalline TlHg2Ge2 at its relaxed geometry. The functional is PBE-GGA.

Geometry as POSCAR:
```
TlHg2Ge2
1.0
-2.170 2.170 6.747
2.170 -2.170 6.747
2.170 2.170 -6.747
Tl Hg Ge
1 2 2
Direct
0.000 0.000 0.000 Tl
0.393 0.393 0.000 Hg
0.607 0.607 0.000 Hg
0.250 0.750 0.500 Ge
0.750 0.250 0.500 Ge
```

Output
Polymorph energy (0 for the lowest one) = 33 meV/atom
Space-group type = I4/mmm, No. 139
Density = 9.8 Mg/m³
Formation energy from the elements = 208 meV per atom
DFT total energy = -2.233 eV/atom



[10]
This record from Alexandria describes crystalline TlHg2Ge2 at its relaxed geometry. The functional is PBE-GGA.

Geometry as POSCAR:
```
TlHg2Ge2
1.0
8.948 0.000 0.000
0.000 8.948 0.000
0.000 0.000 3.090
Tl Hg Ge
2 4 4
Direct
0.000 0.000 0.000 Tl
0.500 0.500 0.000 Tl
0.164 0.336 0.000 Hg
0.336 0.836 0.000 Hg
0.664 0.164 0.000 Hg
0.836 0.664 0.000 Hg
0.132 0.632 0.500 Ge
0.368 0.132 0.500 Ge
0.632 0.868 0.500 Ge
0.868 0.368 0.500 Ge
```

Output
Polymorph energy (0 for the lowest one) = 78 meV/atom
Space-group type = P4/mbm, No. 127
Density = 10.1 Mg/m³
Formation energy from the elements = 252 meV per atom
DFT total energy = -2.189 eV/atom



[11]
This record from Alexandria describes crystalline TlHgGeW2 at its relaxed geometry. The functional is PBE-GGA.

Geometry as POSCAR:
```
TlHgGeW2
1.0
5.234 0.000 0.000
0.000 5.234 0.000
0.000 0.000 5.139
Tl Hg Ge W
1 1 1 2
Direct
0.000 0.000 0.000 Tl
0.500 0.500 0.500 Hg
0.000 0.000 0.500 Ge
0.000 0.500 0.000 W
0.500 0.000 0.000 W
```

Output
Space-group type = P4/mmm, No. 123
Density = 10.0 Mg/m³
Formation energy from the elements = 2585 meV per atom
DFT total energy = -4.054 eV/atom



[12]
This record from Alexandria describes crystalline TmHgGe4 at its relaxed geometry. The functional is PBE-GGA.

Geometry as POSCAR:
```
TmHgGe4
1.0
0.000 3.963 3.963
3.963 0.000 3.963
3.963 3.963 0.000
Tm Hg Ge
1 1 4
Direct
0.000 0.000 0.000 Tm
0.750 0.750 0.750 Hg
0.374 0.374 0.374 Ge
0.374 0.374 0.877 Ge
0.374 0.877 0.374 Ge
0.877 0.374 0.374 Ge
```

Output
Space-group type = F-43m, No. 216
Density = 8.8 Mg/m³
Formation energy from the elements = -112 meV per atom
DFT total energy = -3.986 eV/atom



[13]
This record from Alexandria describes crystalline TmHgGe at its relaxed geometry. The functional is PBE-GGA.

Geometry as POSCAR:
```
TmHgGe
1.0
4.421 0.000 0.000
-2.210 3.829 0.000
0.000 0.000 4.059
Tm Hg Ge
1 1 1
Direct
0.000 0.000 0.000 Tm
0.667 0.333 0.594 Hg
0.333 0.667 0.369 Ge
```

Output
Space-group type = P3m1, No. 156
Density = 10.7 Mg/m³
Formation energy from the elements = -402 meV per atom
DFT total energy = -3.532 eV/atom



[14]
This record from Alexandria describes crystalline Tm5Hg2Ge2 at its relaxed geometry. The functional is PBE-GGA.

Geometry as POSCAR:
```
Tm5Hg2Ge2
1.0
7.786 -3.778 0.000
7.786 3.778 0.000
0.000 0.000 7.557
Tm Hg Ge
10 4 4
Direct
0.000 0.000 0.000 Tm
0.047 0.696 0.670 Tm
0.196 0.547 0.170 Tm
0.304 0.953 0.670 Tm
0.453 0.804 0.170 Tm
0.500 0.500 0.500 Tm
0.547 0.196 0.830 Tm
0.696 0.047 0.330 Tm
0.804 0.453 0.830 Tm
0.953 0.304 0.330 Tm
0.214 0.214 0.000 Hg
0.286 0.286 0.500 Hg
0.714 0.714 0.500 Hg
0.786 0.786 0.000 Hg
0.131 0.869 0.366 Ge
0.369 0.631 0.866 Ge
0.631 0.369 0.134 Ge
0.869 0.131 0.634 Ge
```

Output
Space-group type = Cmce, No. 64
Density = 10.4 Mg/m³
Formation energy from the elements = -636 meV per atom
DFT total energy = -4.213 eV/atom



[15]
This record from Alexandria describes crystalline Tm2HgGe at its relaxed geometry. The functional is PBE-GGA.

Geometry as POSCAR:
```
Tm2HgGe
1.0
3.649 0.000 0.000
0.000 3.649 0.000
0.000 0.000 7.021
Tm Hg Ge
2 1 1
Direct
0.000 0.000 0.238 Tm
0.000 0.000 0.762 Tm
0.500 0.500 0.500 Hg
0.500 0.500 0.000 Ge
```

Output
Space-group type = P4/mmm, No. 123
Density = 10.9 Mg/m³
Formation energy from the elements = -550 meV per atom
DFT total energy = -4.015 eV/atom



[16]
This record from Alexandria describes crystalline TmHgGe at its relaxed geometry. The functional is PBE-GGA.

Geometry as POSCAR:
```
TmHgGe
1.0
8.114 -2.166 0.000
8.114 2.166 0.000
-0.020 0.000 4.094
Tm Hg Ge
2 2 2
Direct
0.000 0.000 0.000 Tm
0.676 0.676 0.503 Tm
0.330 0.330 0.996 Hg
0.477 0.477 0.499 Hg
0.169 0.169 0.002 Ge
0.857 0.857 0.497 Ge
```

Output
Space-group type = Cm, No. 8
Density = 10.2 Mg/m³
Formation energy from the elements = -344 meV per atom
DFT total energy = -3.474 eV/atom



[17]
This record from Alexandria describes crystalline TmHgGe at its relaxed geometry. The functional is PBE-GGA.

Geometry as POSCAR:
```
TmHgGe
1.0
2.080 -8.410 0.000
2.080 8.410 0.000
0.000 0.000 3.917
Tm Hg Ge
2 2 2
Direct
0.093 0.907 0.750 Tm
0.907 0.093 0.250 Tm
0.281 0.719 0.750 Hg
0.719 0.281 0.250 Hg
0.448 0.552 0.750 Ge
0.552 0.448 0.250 Ge
```

Output
Space-group type = Cmcm, No. 63
Density = 10.7 Mg/m³
Formation energy from the elements = -475 meV per atom
DFT total energy = -3.606 eV/atom



[18]
This record from Alexandria describes crystalline TmHgGe2 at its relaxed geometry. The functional is PBE-GGA.

Geometry as POSCAR:
```
TmHgGe2
1.0
4.487 0.000 0.000
0.000 4.487 0.000
0.000 0.000 4.133
Tm Hg Ge
1 1 2
Direct
0.000 0.000 0.000 Tm
0.500 0.500 0.000 Hg
0.000 0.500 0.500 Ge
0.500 0.000 0.500 Ge
```

Output
Polymorph energy (0 for the lowest one) = 0 meV/atom
Space-group type = P4/mmm, No. 123
Density = 10.3 Mg/m³
Formation energy from the elements = -344 meV per atom
DFT total energy = -3.846 eV/atom



[19]
This record from Alexandria describes crystalline TmHgGe2 at its relaxed geometry. The functional is PBE-GGA.

Geometry as POSCAR:
```
TmHgGe2
1.0
2.371 1.369 7.034
-2.371 1.369 7.034
0.000 -2.738 7.034
Tm Hg Ge
1 1 2
Direct
0.000 0.000 0.000 Tm
0.500 0.500 0.500 Hg
0.374 0.374 0.374 Ge
0.626 0.626 0.626 Ge
```

Output
Polymorph energy (0 for the lowest one) = 518 meV/atom
Space-group type = R-3m, No. 166
Density = 6.2 Mg/m³
Formation energy from the elements = 174 meV per atom
DFT total energy = -3.328 eV/atom



[20]
This record from Alexandria describes crystalline Tm2HgGe at its relaxed geometry. The functional is PBE-GGA.

Geometry as POSCAR:
```
Tm2HgGe
1.0
1.913 1.104 8.106
-1.913 1.104 8.106
0.000 -2.208 8.106
Tm Hg Ge
2 1 1
Direct
0.241 0.241 0.241 Tm
0.759 0.759 0.759 Tm
0.000 0.000 0.000 Hg
0.500 0.500 0.500 Ge
```

Output
Space-group type = R-3m, No. 166
Density = 9.9 Mg/m³
Formation energy from the elements = -485 meV per atom
DFT total energy = -3.950 eV/atom



[21]
This record from Alexandria describes crystalline YTmHgGe at its relaxed geometry. The functional is PBE-GGA.

Geometry as POSCAR:
```
YTmHgGe
1.0
0.000 3.625 3.625
3.625 0.000 3.625
3.625 3.625 0.000
Y Tm Hg Ge
1 1 1 1
Direct
0.000 0.000 0.000 Y
0.500 0.500 0.500 Tm
0.250 0.250 0.250 Hg
0.750 0.750 0.750 Ge
```

Output
Space-group type = F-43m, No. 216
Density = 9.3 Mg/m³
Formation energy from the elements = -547 meV per atom
DFT total energy = -4.510 eV/atom



[22]
This record from Alexandria describes crystalline UHgGe2 at its relaxed geometry. The functional is PBE-GGA.

Geometry as POSCAR:
```
UHgGe2
1.0
4.567 0.000 0.000
0.000 4.567 0.000
0.000 0.000 3.979
U Hg Ge
1 1 2
Direct
0.000 0.000 0.000 U
0.500 0.500 0.000 Hg
0.000 0.500 0.500 Ge
0.500 0.000 0.500 Ge
```

Output
Polymorph energy (0 for the lowest one) = 0 meV/atom
Space-group type = P4/mmm, No. 123
Density = 11.7 Mg/m³
Formation energy from the elements = -114 meV per atom
DFT total energy = -5.320 eV/atom



[23]
This record from Alexandria describes crystalline UHgGe2 at its relaxed geometry. The functional is PBE-GGA.

Geometry as POSCAR:
```
UHgGe2
1.0
2.213 1.278 7.570
-2.213 1.278 7.570
0.000 -2.556 7.570
U Hg Ge
1 1 2
Direct
0.000 0.000 0.000 U
0.500 0.500 0.500 Hg
0.386 0.386 0.386 Ge
0.614 0.614 0.614 Ge
```

Output
Polymorph energy (0 for the lowest one) = 601 meV/atom
Space-group type = R-3m, No. 166
Density = 7.5 Mg/m³
Formation energy from the elements = 487 meV per atom
DFT total energy = -4.719 eV/atom



[24]
This record from Alexandria describes crystalline V2HgGe2 at its relaxed geometry. The functional is PBE-GGA.

Geometry as POSCAR:
```
V2HgGe2
1.0
7.180 0.000 0.000
0.000 7.180 0.000
0.000 0.000 3.191
V Hg Ge
4 2 4
Direct
0.119 0.381 0.000 V
0.381 0.881 0.000 V
0.619 0.119 0.000 V
0.881 0.619 0.000 V
0.000 0.000 0.000 Hg
0.500 0.500 0.000 Hg
0.170 0.670 0.500 Ge
0.330 0.170 0.500 Ge
0.670 0.830 0.500 Ge
0.830 0.330 0.500 Ge
```

Output
Polymorph energy (0 for the lowest one) = 0 meV/atom
Space-group type = P4/mbm, No. 127
Density = 9.0 Mg/m³
Formation energy from the elements = 56 meV per atom
DFT total energy = -5.499 eV/atom



[25]
This record from Alexandria describes crystalline VHg2Ge at its relaxed geometry. The functional is PBE-GGA.

Geometry as POSCAR:
```
VHg2Ge
1.0
-3.912 3.912 2.762
3.912 -3.912 2.762
3.912 3.912 -2.762
V Hg Ge
2 4 2
Direct
0.000 0.000 0.000 V
0.750 0.250 0.500 V
0.128 0.625 0.003 Hg
0.375 0.378 0.503 Hg
0.622 0.125 0.997 Hg
0.875 0.872 0.497 Hg
0.250 0.750 0.500 Ge
0.500 0.500 0.000 Ge
```

Output
Polymorph energy (0 for the lowest one) = 26 meV/atom
Space-group type = I-42d, No. 122
Density = 10.3 Mg/m³
Formation energy from the elements = 493 meV per atom
DFT total energy = -3.092 eV/atom